Record 1
Here is an optimized crystal structure of LaNi3Pt from the Alexandria database. Energies are from GGA-PBE.

abc: 4.6534 4.6534 4.6534
angles: 90.00 90.00 90.00
Sites, in units of the cell vectors:
La1 0.0000 0.0000 0.0000
Ni1 0.0000 0.5000 0.5000
Ni2 0.5000 0.0000 0.5000
Ni3 0.5000 0.5000 0.0000
Pt1 0.5000 0.5000 0.5000

Summary:
E above lowest polymorph (eV per atom): 0.0000
Mass density (kg/m3): 8405
M_tot (μB per formula unit): 1.71

Record 2
Here is an optimized crystal structure of LaNiPt2 from the Alexandria database. Energies are from GGA-PBE.

abc: 5.0977 5.0977 5.0977
angles: 131.39 131.13 71.40
Sites, in units of the cell vectors:
La1 0.0000 0.0000 0.0000
Ni1 0.2510 0.7510 0.5000
Pt1 0.4991 0.4991 0.0000
Pt2 0.7494 0.2494 0.5000

Summary:
Mass density (kg/m3): 13321
Raw total energy (Ry per atom): -0.457
M_tot (μB per formula unit): 0.10

Record 3
Here is an optimized crystal structure of La4Ni3Pt from the Alexandria database. Energies are from GGA-PBE.

abc: 3.9256 4.4441 10.8923
angles: 90.00 90.00 90.00
Sites, in units of the cell vectors:
La1 0.0000 0.0000 0.0000
La2 0.0000 0.5000 0.2641
La3 0.5000 0.0000 0.4886
La4 0.5000 0.5000 0.7649
Ni1 0.0000 0.5000 0.5425
Ni2 0.5000 0.0000 0.2030
Ni3 0.5000 0.5000 0.0586
Pt1 0.0000 0.0000 0.7108

Summary:
Mass density (kg/m3): 8099
Raw total energy (Ry per atom): -0.436
M_tot (μB per formula unit): 0.00

Record 4
Here is an optimized crystal structure of LaNiPt2 from the Alexandria database. Energies are from GGA-PBE.

abc: 3.5488 3.5858 6.0298
angles: 90.00 90.00 90.00
Sites, in units of the cell vectors:
La1 0.0000 0.0000 0.0000
Ni1 0.5000 0.5000 0.3270
Pt1 0.0000 0.0000 0.4687
Pt2 0.5000 0.5000 0.7448

Summary:
Mass density (kg/m3): 12720
Raw total energy (Ry per atom): -0.446
M_tot (μB per formula unit): 0.89

Record 5
Here is an optimized crystal structure of LaNiPt2 from the Alexandria database. Energies are from GGA-PBE.

abc: 8.9721 8.9721 8.9721
angles: 149.55 149.55 43.60
Sites, in units of the cell vectors:
La1 0.0000 0.0000 0.0000
La2 0.7500 0.2500 0.5000
Ni1 0.2500 0.7500 0.5000
Ni2 0.5000 0.5000 0.0000
Pt1 0.2748 0.6250 0.1498
Pt2 0.3750 0.5248 0.6498
Pt3 0.4752 0.1250 0.8502
Pt4 0.8750 0.7252 0.3502

Summary:
Mass density (kg/m3): 10555
Raw total energy (Ry per atom): -0.451
M_tot (μB per formula unit): 0.00

Record 6
Here is an optimized crystal structure of La2NiPt2 from the Alexandria database. Energies are from GGA-PBE.

abc: 7.5969 7.5969 4.0061
angles: 90.00 90.00 90.00
Sites, in units of the cell vectors:
La1 0.1736 0.3264 0.0000
La2 0.3264 0.8264 0.0000
La3 0.6736 0.1736 0.0000
La4 0.8264 0.6736 0.0000
Ni1 0.0000 0.0000 0.5000
Ni2 0.5000 0.5000 0.5000
Pt1 0.1356 0.6356 0.5000
Pt2 0.3644 0.1356 0.5000
Pt3 0.6356 0.8644 0.5000
Pt4 0.8644 0.3644 0.5000

Summary:
Mass density (kg/m3): 10438
Raw total energy (Ry per atom): -0.464
M_tot (μB per formula unit): 0.00

Record 7
Here is an optimized crystal structure of La3NiPt8 from the Alexandria database. Energies are from GGA-PBE.

abc: 9.5371 9.5371 9.5371
angles: 33.49 33.49 33.49
Sites, in units of the cell vectors:
La1 0.0000 0.0000 0.0000
La2 0.1307 0.1307 0.1307
La3 0.5231 0.5231 0.5231
Ni1 0.6568 0.6568 0.6568
Pt1 0.0700 0.5699 0.5699
Pt2 0.0719 0.0719 0.5679
Pt3 0.0719 0.5679 0.0719
Pt4 0.3195 0.3195 0.3195
Pt5 0.5679 0.0719 0.0719
Pt6 0.5699 0.0700 0.5699
Pt7 0.5699 0.5699 0.0700
Pt8 0.8206 0.8206 0.8206

Summary:
Mass density (kg/m3): 14375
Raw total energy (Ry per atom): -0.486
M_tot (μB per formula unit): 0.38

Record 8
Here is an optimized crystal structure of La2Ni2Pt from the Alexandria database. Energies are from GGA-PBE.

abc: 7.2344 7.2344 3.9091
angles: 90.00 90.00 90.00
Sites, in units of the cell vectors:
La1 0.1855 0.3145 0.0000
La2 0.3145 0.8145 0.0000
La3 0.6855 0.1855 0.0000
La4 0.8145 0.6855 0.0000
Ni1 0.1191 0.6191 0.5000
Ni2 0.3809 0.1191 0.5000
Ni3 0.6191 0.8809 0.5000
Ni4 0.8809 0.3809 0.5000
Pt1 0.0000 0.0000 0.5000
Pt2 0.5000 0.5000 0.5000

Summary:
E above lowest polymorph (eV per atom): 0.0000
Mass density (kg/m3): 9582
M_tot (μB per formula unit): 0.00

What is the formula in the eighth record?
La2Ni2Pt